Record 1
# Rb2NaPrBr6

Crystalline Rb2NaPrBr6 at its relaxed geometry (PBEsol, the Alexandria database).

a b c (Å): 8.043 8.043 8.043
angles (deg): 60.00 60.00 60.00
Element x y z (fractional)
Rb 0.750 0.750 0.750
Rb 0.250 0.250 0.250
Na 0.500 0.500 0.500
Pr 0.000 0.000 0.000
Br 0.749 0.251 0.251
Br 0.749 0.749 0.251
Br 0.251 0.749 0.749
Br 0.749 0.251 0.749
Br 0.251 0.749 0.251
Br 0.251 0.251 0.749

## Properties
The volume comes out at 368.0 Å³ per cell. Its formation energy (no corrections) is -17.4 eV per formula unit. The space-group type is Fm-3m, No. 225.

Record 2
# NaPtSeBr2

Crystalline NaPtSeBr2 at its relaxed geometry (PBEsol, the Alexandria database).

a b c (Å): 4.966 4.966 5.156
angles (deg): 90.00 90.00 90.00
Last column: magnetic moment on the atom in μB.
Element x y z (fractional)
Na 0.000 0.000 0.000  0.00
Se 0.000 0.000 0.500  0.16
Br 0.000 0.500 0.000  0.14
Br 0.500 0.000 0.000  0.14
Pt 0.500 0.500 0.500  0.42

## Properties
The volume comes out at 127.1 Å³ per cell. Its formation energy (no corrections) is 4.4 eV per formula unit. The space-group type is P4/mmm, No. 123.

Record 3
# RbNa2Br2

Crystalline RbNa2Br2 at its relaxed geometry (PBEsol, the Alexandria database).

a b c (Å): 4.981 4.981 8.341
angles (deg): 107.37 107.37 90.00
Element x y z (fractional)
Na 0.250 0.750 0.500
Na 0.750 0.250 0.500
Br 0.358 0.358 0.717
Br 0.642 0.642 0.283
Rb 0.000 0.000 0.000

## Properties
The volume comes out at 187.6 Å³ per cell. Its formation energy (no corrections) is -5.5 eV per formula unit. The space-group type is I4/mmm, No. 139.

Record 4
# Rb3NaBr

Crystalline Rb3NaBr at its relaxed geometry (PBEsol, the Alexandria database).

a b c (Å): 6.717 6.717 6.717
angles (deg): 90.00 90.00 90.00
Element x y z (fractional)
Na 0.500 0.500 0.500
Br 0.000 0.000 0.000
Rb 0.000 0.500 0.000
Rb 0.000 0.000 0.500
Rb 0.500 0.000 0.000

## Properties
The volume comes out at 303.1 Å³ per cell. Its formation energy (no corrections) is -3.2 eV per formula unit. The space-group type is Pm-3m, No. 221.

Record 5
# RbNaSeBr2

Crystalline RbNaSeBr2 at its relaxed geometry (PBEsol, the Alexandria database).

a b c (Å): 5.374 5.578 5.578
angles (deg): 90.00 90.00 90.00
Last column: magnetic moment on the atom in μB.
Element x y z (fractional)
Na 0.000 0.000 0.000  0.00
Se 0.500 0.000 0.000  0.89
Br 0.000 0.000 0.500  0.20
Br 0.000 0.500 0.000  0.20
Rb 0.500 0.500 0.500  0.00

## Properties
The volume comes out at 167.2 Å³ per cell. Its formation energy (no corrections) is -3.6 eV per formula unit. The space-group type is P4/mmm, No. 123.

Record 6
# NaReBr2

Crystalline NaReBr2 at its relaxed geometry (PBEsol, the Alexandria database).

a b c (Å): 4.654 4.654 4.654
angles (deg): 60.00 60.00 60.00
Element x y z (fractional)
Re 0.500 0.500 0.500
Br 0.250 0.250 0.250
Br 0.750 0.750 0.750
Na 0.000 0.000 0.000

## Properties
The volume comes out at 71.3 Å³ per cell. Its formation energy (no corrections) is 2.6 eV per formula unit. The space-group type is Fm-3m, No. 225.

Q: formation energy (no corrections) of number 1 (Rb2NaPrBr6)?
A: -17.4 eV per formula unit